{
  "formula": "SmMg4Pb2",
  "functional": "GGA-PBE",
  "state": "optimized geometry",
  "space_group": "I4/mmm, No. 139",
  "e_form_ev_per_atom": 0.24,
  "e_tot_ev_per_atom": -2.40,
  "volume_a3_per_cell": 206,
  "density_g_cm3": 5.3,
  "lattice_angstrom": [[-3.019, 3.019, 5.653], [3.019, -3.019, 5.653], [3.019, 3.019, -5.653]],
  "species": ["Sm", "Mg", "Mg", "Mg", "Mg", "Pb", "Pb"],
  "frac_coords": [[0.000, 0.000, 0.000], [0.000, 0.500, 0.500], [0.250, 0.750, 0.500], [0.500, 0.000, 0.500], [0.750, 0.250, 0.500], [0.358, 0.358, 0.000], [0.642, 0.642, 0.000]]
}